(1)
Density functional theory data (PBE) for a geometry-optimized SrAlIO2 structure.

Cell: 4.6217 4.6217 6.8074 Å, 90.00 90.00 90.00°
Space group P4/mmm (No. 123)
One atom of each set of equivalent atoms:
Sr (0.0000, 0.0000, 0.0000)
Al (0.5000, 0.5000, 0.5000)
I (0.0000, 0.0000, 0.5000)
O (0.0000, 0.5000, 0.0000)

Computed properties:
DOS(E_F) in states/eV/cell: 7.18
Uncorrected formation energy in eV/f.u.: -1.9
E_tot in eV/atom: -3.764
Volume in Å³/f.u.: 145.4

---

(2)
Density functional theory data (PBE) for a geometry-optimized AlTe2IO structure.

Cell: 5.3128 5.3128 5.3069 Å, 90.00 90.00 90.00°
Space group P4/mmm (No. 123)
One atom of each set of equivalent atoms:
Al (0.0000, 0.0000, 0.0000)
Te (0.0000, 0.5000, 0.0000)
I (0.0000, 0.0000, 0.5000)
O (0.5000, 0.5000, 0.5000)

Computed properties:
DOS(E_F) in states/eV/cell: 9.21
Uncorrected formation energy in eV/f.u.: 3.9
E_tot in eV/atom: -2.530
Volume in Å³/f.u.: 149.8

---

Question: Look up the uncorrected formation energy of the second one.
Answer: 3.9 eV/f.u.

---

Question: What is the formula in the first record?
Answer: SrAlIO2